Entry w
Compound: Sc2CrCl
Source: the Alexandria database
Functional: GGA-PBE
Structure: relaxed

CIF file:
```
data_Sc2CrCl
_chemical_formula_sum 'Sc2 Cr1 Cl1'
_cell_length_a 3.2978
_cell_length_b 3.2005
_cell_length_c 7.7114
_cell_angle_alpha 90.00
_cell_angle_beta 90.07
_cell_angle_gamma 90.00
_space_group_name_H-M_alt 'P 1 2/m 1'
_space_group_IT_number 10
_space_group_name_Hall '-P 2y'
loop_
_atom_site_label
_atom_site_type_symbol
_atom_site_fract_x
_atom_site_fract_y
_atom_site_fract_z
Sc1 Sc 0.0007 0.0000 0.2140
Cr1 Cr 0.5000 0.5000 0.0000
Cl1 Cl 0.0000 0.5000 0.5000
```

=====

Entry x
Compound: Sc2CrCl
Source: the Alexandria database
Functional: GGA-PBE
Structure: relaxed

CIF file:
```
data_Sc2CrCl
_chemical_formula_sum 'Sc4 Cr2 Cl2'
_cell_length_a 3.8439
_cell_length_b 3.8439
_cell_length_c 10.8168
_cell_angle_alpha 90.00
_cell_angle_beta 90.00
_cell_angle_gamma 90.00
_space_group_name_H-M_alt 'I -4 m 2'
_space_group_IT_number 119
_space_group_name_Hall 'I -4 -2'
loop_
_atom_site_label
_atom_site_type_symbol
_atom_site_fract_x
_atom_site_fract_y
_atom_site_fract_z
Sc1 Sc 0.0000 0.0000 0.0000
Sc2 Sc 0.0000 0.5000 0.2500
Cr1 Cr 0.0000 0.0000 0.5000
Cl1 Cl 0.0000 0.5000 0.7500
```

=====

Which structure is most stable, and how do the rest compare? From most to least stable: entry w, entry x.

=====

Entry w
Compound: ScCrCl2
Source: the Alexandria database
Functional: GGA-PBE
Structure: relaxed

CIF file:
```
data_ScCrCl2
_chemical_formula_sum 'Sc3 Cr3 Cl6'
_cell_length_a 3.6171
_cell_length_b 3.6171
_cell_length_c 24.5595
_cell_angle_alpha 90.00
_cell_angle_beta 90.00
_cell_angle_gamma 120.00
_space_group_name_H-M_alt 'R -3 m'
_space_group_IT_number 166
_space_group_name_Hall '-R 3 2"'
loop_
_atom_site_label
_atom_site_type_symbol
_atom_site_fract_x
_atom_site_fract_y
_atom_site_fract_z
Sc1 Sc 0.0000 0.0000 0.0000
Cr1 Cr 0.0000 0.0000 0.5000
Cl1 Cl 0.0000 0.0000 0.1030
```

=====

Entry x
Compound: ScCrCl2
Source: the Alexandria database
Functional: GGA-PBE
Structure: relaxed

CIF file:
```
data_ScCrCl2
_chemical_formula_sum 'Sc4 Cr4 Cl8'
_cell_length_a 6.9016
_cell_length_b 6.9016
_cell_length_c 6.9016
_cell_angle_alpha 90.00
_cell_angle_beta 90.00
_cell_angle_gamma 90.00
_space_group_name_H-M_alt 'F -4 3 m'
_space_group_IT_number 216
_space_group_name_Hall 'F -4 2 3'
loop_
_atom_site_label
_atom_site_type_symbol
_atom_site_fract_x
_atom_site_fract_y
_atom_site_fract_z
Sc1 Sc 0.0000 0.0000 0.0000
Cr1 Cr 0.2500 0.2500 0.2500
Cl1 Cl 0.0000 0.0000 0.5000
Cl2 Cl 0.2500 0.2500 0.7500
```

=====

Which structure is most stable, and how do the rest compare? From most to least stable: entry w, entry x.